Material: SrCu
Method: DFT, GGA-PBE
State: relaxed

abc: 4.3249 4.3249 8.1642
angles: 74.64 74.64 60.00
Sites, in units of the cell vectors:
Cu 0.3331 0.3331 0.0007
Sr 0.0863 0.0863 0.7411
Sr 0.9137 0.9137 0.2589
Cu 0.6669 0.6669 0.9993

* symmetry: R-3m (166)
* total energy: -3.003 eV/atom